(1)
5
Lattice="5.2870 0.0000 0.0000 0.0000 5.2870 0.0000 0.0000 0.0000 5.2870" Properties=species:S:1:pos:R:3 comment="PBE Tl3PW, optimized geometry" e_form_ev_per_atom=1.488 de_polymorph_mev_per_atom=224 spacegroup="Pm-3m, No. 221" pbc="T T T"
Tl 0.0000 0.0000 2.6435
Tl 0.0000 2.6435 0.0000
Tl 2.6435 0.0000 0.0000
P 0.0000 0.0000 0.0000
W 2.6435 2.6435 2.6435

(2)
4
Lattice="2.6672 0.0000 0.0000 0.0000 2.6672 0.0000 0.0000 0.0000 7.3055" Properties=species:S:1:pos:R:3 comment="PBE Co2TcPt, optimized geometry" e_form_ev_per_atom=-0.013 de_polymorph_mev_per_atom=0 spacegroup="P4mm, No. 99" pbc="T T T"
Co 0.0000 0.0000 0.0000
Co 1.3336 1.3336 1.5857
Tc 1.3336 1.3336 5.5350
Pt 0.0000 0.0000 3.5022

(3)
12
Lattice="5.7394 -2.4180 0.0000 5.7394 2.4180 0.0000 -5.3087 0.0000 7.4565" Properties=species:S:1:pos:R:3 comment="PBE HoGa4Pd7, optimized geometry" e_form_ev_per_atom=-0.515 spacegroup="C2/m, No. 12" pbc="T T T"
Ho 0.0000 0.0000 0.0000
Ga -0.2163 0.0000 4.9643
Ga 3.6565 0.0000 1.6282
Ga 2.5135 0.0000 5.8283
Ga 6.3863 0.0000 2.4923
Pd -1.0940 0.0000 2.6282
Pd -2.1569 0.0000 6.5740
Pd 1.7092 0.0000 3.1834
Pd 5.7394 0.0000 0.0000
Pd 4.4609 0.0000 4.2732
Pd 8.3269 0.0000 0.8825
Pd 7.2641 0.0000 4.8284

(4)
12
Lattice="3.6695 -6.3431 0.0000 3.6695 6.3431 0.0000 -2.4472 0.0000 7.0901" Properties=species:S:1:pos:R:3 comment="PBE Ho6Te3PbSe2, optimized geometry" e_form_raw_ev_per_fu=-15.7 spacegroup="C2/m, No. 12" pbc="T T T"
Ho -0.0495 2.1950 5.4767
Ho 1.1243 0.0000 1.5859
Ho -0.0495 -2.1950 5.4767
Ho 4.9414 2.1950 1.6134
Ho 3.7676 0.0000 5.5043
Ho 4.9414 -2.1950 1.6134
Te -1.2236 0.0000 3.5451
Te 2.4459 2.0557 3.5451
Te 2.4459 -2.0557 3.5451
Pb 3.6695 0.0000 0.0000
Se 3.6695 4.2146 0.0000
Se 3.6695 -4.2146 0.0000

(5)
6
Lattice="-2.2210 2.8337 5.3902 2.2210 -2.8337 5.3902 2.2210 2.8337 -5.3902" Properties=species:S:1:pos:R:3 comment="PBE Nd2TcGe3, optimized geometry" e_form_ev_per_atom=-0.336 spacegroup="Immm, No. 71" pbc="T T T"
Nd 0.0000 0.0000 1.9713
Nd 0.0000 0.0000 8.8092
Tc 0.0000 0.0000 5.3902
Ge 2.2210 0.0000 0.0000
Ge 2.2210 0.0000 4.0746
Ge 0.0000 2.8337 1.3156

(6)
4
Lattice="0.0000 3.4202 3.4202 3.4202 0.0000 3.4202 3.4202 3.4202 0.0000" Properties=species:S:1:pos:R:3 comment="PBE YPaFeIr, optimized geometry" e_form_ev_per_atom=-0.299 spacegroup="F-43m, No. 216" pbc="T T T"
Y 0.0000 0.0000 0.0000
Pa 3.4202 3.4202 3.4202
Fe 5.1304 5.1304 5.1304
Ir 1.7101 1.7101 1.7101

(7)
5
Lattice="4.6216 0.0000 0.0000 0.0000 4.6216 0.0000 0.0000 0.0000 4.6216" Properties=species:S:1:pos:R:3 comment="PBE CuBiW3, optimized geometry" e_form_ev_per_atom=1.840 de_polymorph_mev_per_atom=0 spacegroup="Pm-3m, No. 221" pbc="T T T"
Cu 0.0000 0.0000 0.0000
Bi 2.3108 2.3108 2.3108
W 0.0000 0.0000 2.3108
W 0.0000 2.3108 0.0000
W 2.3108 0.0000 0.0000

(8)
4
Lattice="5.2663 0.0000 0.0000 0.0000 5.2663 0.0000 0.0000 0.0000 5.7442" Properties=species:S:1:pos:R:3 comment="PBE Ca2AcSm, optimized geometry" e_form_ev_per_atom=0.114 de_polymorph_mev_per_atom=82 spacegroup="P4/mmm, No. 123" pbc="T T T"
Ca 0.0000 2.6332 0.0000
Ca 2.6332 0.0000 0.0000
Ac 0.0000 0.0000 2.8721
Sm 2.6332 2.6332 2.8721

(9)
6
Lattice="0.0000 3.7131 3.7131 3.7131 0.0000 3.7131 3.7131 3.7131 0.0000" Properties=species:S:1:pos:R:3 comment="PBE TcAg4W, optimized geometry" e_form_ev_per_atom=0.927 spacegroup="F-43m, No. 216" pbc="T T T"
Tc 0.0000 0.0000 0.0000
Ag 2.7845 2.7845 2.7845
Ag 4.6416 4.6416 2.7845
Ag 4.6416 2.7845 4.6416
Ag 2.7845 4.6416 4.6416
W 5.5696 5.5696 5.5696

(10)
4
Lattice="4.8162 -1.6441 0.0000 4.8162 1.6441 0.0000 -1.5835 0.0000 3.8621" Properties=species:S:1:pos:R:3 comment="PBE LiCr2Pb, optimized geometry" e_form_ev_per_atom=0.547 spacegroup="C2/m, No. 12" pbc="T T T"
Li 0.0000 0.0000 0.0000
Cr 1.1900 0.0000 3.1827
Cr 6.8588 0.0000 0.6794
Pb 4.0244 0.0000 1.9310

(11)
10
Lattice="6.4723 0.0000 0.0000 0.0000 6.4723 0.0000 0.0000 0.0000 2.7069" Properties=species:S:1:pos:R:3 comment="PBE CuIr2C2, optimized geometry" e_form_ev_per_atom=1.291 de_polymorph_mev_per_atom=523 spacegroup="P4/mbm, No. 127" pbc="T T T"
Cu 0.0000 0.0000 0.0000
Cu 3.2362 3.2362 0.0000
Ir 1.0168 2.2193 0.0000
Ir 2.2193 5.4555 0.0000
Ir 4.2530 1.0168 0.0000
Ir 5.4555 4.2530 0.0000
C 1.1299 4.3661 1.3534
C 2.1062 1.1299 1.3534
C 4.3661 5.3424 1.3534
C 5.3424 2.1062 1.3534

(12)
6
Lattice="4.4208 -1.4868 0.0000 4.4208 1.4868 0.0000 -2.8110 0.0000 4.4783" Properties=species:S:1:pos:R:3 comment="PBE SiB2, optimized geometry" e_form_raw_ev_per_fu=0.8 de_polymorph_mev_per_atom=59 spacegroup="C2/m, No. 12" pbc="T T T"
Si -0.0407 0.0000 1.3501
Si 6.0713 0.0000 3.1282
B 1.5962 0.0000 0.0289
B 0.1686 0.0000 3.3910
B 5.8620 0.0000 1.0873
B 4.4344 0.0000 4.4494